DFT (PBE-GGA) results for a relaxed structure of AgHgGe3.

Its formation enthalpy at 0 K is 0.66 eV per atom. As for the uncorrected energy: -13.7 eV per cell. For the density, the calculation gives 6.80 g cm⁻³.

The space group is Pm-3m (No. 221) and the conventional cell measures 5.048, 5.048 and 5.048 Å, with angles of 90.00, 90.00 and 90.00 degrees. The inequivalent atoms are Ag at (0.000, 0.000, 0.000), Hg at (0.500, 0.500, 0.500) and Ge at (0.000, 0.000, 0.500).